An optimized crystal structure of AgTeBr, computed with GGA-PBE.

Calculated values
- calculated volume (Å³/atom) = 30.7
- spin magnetization (μB/f.u.) = 0.00
- total energy (eV per atom) = -2.7274

Cell lengths 4.4882, 6.3540, 7.0209 Å; angles 102.56, 100.19, 103.69 degrees
Positions (direct):
Ag1 0.1529 0.3291 0.2608
Ag2 0.8471 0.6709 0.7392
Te1 0.2866 0.9108 0.1007
Te2 0.7134 0.0892 0.8993
Br1 0.2400 0.3626 0.6672
Br2 0.7600 0.6374 0.3328

An optimized crystal structure of Ag2TeBr, computed with GGA-PBE.

Calculated values
- calculated volume (Å³/atom) = 26.3
- spin magnetization (μB/f.u.) = 0.00
- ΔE to the lowest computed polymorph (meV per atom) = 12.6
- total energy (eV per atom) = -2.7484

Cell lengths 8.7580, 8.7580, 3.9900 Å; angles 102.73, 102.73, 45.06 degrees
Positions (direct):
Ag1 0.0968 0.6475 0.8756
Ag2 0.3525 0.9032 0.1244
Ag3 0.6475 0.0968 0.8756
Ag4 0.9032 0.3525 0.1244
Te1 0.2576 0.7424 0.5000
Te2 0.7424 0.2576 0.5000
Br1 0.2410 0.2410 0.7408
Br2 0.7590 0.7590 0.2592

An optimized crystal structure of Ag2TeBr, computed with GGA-PBE.

Calculated values
- calculated volume (Å³/atom) = 25.2
- spin magnetization (μB/f.u.) = 0.00
- ΔE to the lowest computed polymorph (meV per atom) = 0.0
- total energy (eV per atom) = -2.7611

Cell lengths 7.5493, 7.5493, 7.5493 Å; angles 30.89, 30.89, 30.89 degrees
Positions (direct):
Ag1 0.2470 0.2470 0.2470
Ag2 0.7530 0.7530 0.7530
Te1 0.5000 0.5000 0.5000
Br1 0.0000 0.0000 0.0000

An optimized crystal structure of Ag2TeBr, computed with GGA-PBE.

Calculated values
- calculated volume (Å³/atom) = 28.7
- spin magnetization (μB/f.u.) = 0.00
- ΔE to the lowest computed polymorph (meV per atom) = 9.8
- total energy (eV per atom) = -2.7512

Cell lengths 7.9913, 9.6532, 6.0592 Å; angles 90.00, 100.73, 90.00 degrees
Positions (direct):
Ag1 0.0041 0.0524 0.2640
Ag2 0.0041 0.4476 0.7640
Ag3 0.4745 0.7394 0.6863
Ag4 0.4745 0.7606 0.1863
Ag5 0.5255 0.2394 0.8137
Ag6 0.5255 0.2606 0.3137
Ag7 0.9959 0.5524 0.2360
Ag8 0.9959 0.9476 0.7360
Te1 0.1684 0.7005 0.8801
Te2 0.1684 0.7995 0.3801
Te3 0.8316 0.2005 0.6199
Te4 0.8316 0.2995 0.1199
Br1 0.2941 0.1061 0.0245
Br2 0.2941 0.3939 0.5245
Br3 0.7059 0.6061 0.4755
Br4 0.7059 0.8939 0.9755

What did the first record say?
An optimized crystal structure of AgTeBr, computed with GGA-PBE.

Calculated values
- calculated volume (Å³/atom) = 30.7
- spin magnetization (μB/f.u.) = 0.00
- total energy (eV per atom) = -2.7274

Cell lengths 4.4882, 6.3540, 7.0209 Å; angles 102.56, 100.19, 103.69 degrees
Positions (direct):
Ag1 0.1529 0.3291 0.2608
Ag2 0.8471 0.6709 0.7392
Te1 0.2866 0.9108 0.1007
Te2 0.7134 0.0892 0.8993
Br1 0.2400 0.3626 0.6672
Br2 0.7600 0.6374 0.3328

> Number 4 is which compound?

Ag2TeBr